Entry 1:
CsBa2SrSe: optimized geometry, PBE.

Unit cell a=6.735 b=6.273 c=6.735 alpha=90.00 beta=90.00 gamma=90.00
Positions (direct):
Cs (0.500, 0.500, 0.500)
Ba (0.500, 0.000, 0.000)
Ba (0.000, 0.000, 0.500)
Sr (0.000, 0.500, 0.000)
Se (0.000, 0.000, 0.000)

Calculated values
As for the space group: P4/mmm (123). For the theoretical density, the calculation gives 3.35 g/cm3. As for the electronic total energy: -2.5645 eV/atom. The value obtained for the uncorrected formation energy is -591 meV per atom.

Entry 2:
CsBaTaSe4: optimized geometry, PBE.

Unit cell a=7.534 b=7.400 c=10.082 alpha=90.00 beta=107.43 gamma=90.00
Positions (direct):
Se (0.597, 0.250, 0.833)
Se (0.003, 0.508, 0.732)
Se (0.003, 0.992, 0.732)
Se (0.381, 0.750, 0.557)
Se (0.619, 0.250, 0.443)
Ba (0.233, 0.250, 0.546)
Cs (0.716, 0.750, 0.931)
Ta (0.203, 0.750, 0.314)
Ta (0.797, 0.250, 0.686)
Cs (0.284, 0.250, 0.069)
Se (0.997, 0.008, 0.268)
Se (0.997, 0.492, 0.268)
Ba (0.767, 0.750, 0.454)
Se (0.403, 0.750, 0.167)

Calculated values
As for the space group: P2_1/m (11). For the theoretical density, the calculation gives 4.75 g/cm3. As for the electronic total energy: -5.4339 eV/atom. The value obtained for the uncorrected formation energy is -1353 meV per atom.

Entry 3:
Cs3Ba2TaSe6: optimized geometry, PBE.

Unit cell a=7.885 b=7.885 c=8.630 alpha=98.86 beta=98.86 gamma=119.81
Positions (direct):
Se (0.938, 0.663, 0.813)
Se (0.209, 0.209, 0.811)
Cs (0.173, 0.827, 0.500)
Ta (0.000, 0.000, 0.000)
Se (0.337, 0.062, 0.187)
Se (0.791, 0.791, 0.189)
Ba (0.334, 0.666, 0.000)
Ba (0.666, 0.334, 0.000)
Cs (0.500, 0.500, 0.500)
Se (0.062, 0.337, 0.187)
Cs (0.827, 0.173, 0.500)
Se (0.663, 0.938, 0.813)

Calculated values
As for the space group: C2/m (12). For the theoretical density, the calculation gives 4.98 g/cm3. As for the electronic total energy: -4.6033 eV/atom. The value obtained for the uncorrected formation energy is -1339 meV per atom.

Entry 4:
Cs2BaTeSe4: optimized geometry, PBE.

Unit cell a=7.514 b=8.682 c=14.269 alpha=83.46 beta=74.73 gamma=64.36
Positions (direct):
Se (0.350, 0.779, 0.101)
Se (0.871, 0.779, 0.899)
Cs (0.939, 0.500, 0.121)
Se (0.400, 0.721, 0.399)
Ba (0.000, 0.000, 0.000)
Cs (0.811, 0.000, 0.379)
Te (0.250, 0.500, 0.500)
Cs (0.561, 0.500, 0.879)
Se (0.548, 0.221, 0.101)
Se (0.230, 0.221, 0.899)
Cs (0.189, 0.000, 0.621)
Se (0.520, 0.279, 0.601)
Se (0.879, 0.721, 0.601)
Te (0.500, 0.000, 0.000)
Se (0.202, 0.279, 0.399)
Ba (0.750, 0.500, 0.500)

Calculated values
As for the space group: Fddd (70). For the theoretical density, the calculation gives 3.47 g/cm3. As for the electronic total energy: -3.4002 eV/atom. The value obtained for the uncorrected formation energy is -811 meV per atom.

- What is the uncorrected formation energy in the fourth record?
  -811 meV per atom

Copy entry 4 word for word.
Cs2BaTeSe4: optimized geometry, PBE.

Unit cell a=7.514 b=8.682 c=14.269 alpha=83.46 beta=74.73 gamma=64.36
Positions (direct):
Se (0.350, 0.779, 0.101)
Se (0.871, 0.779, 0.899)
Cs (0.939, 0.500, 0.121)
Se (0.400, 0.721, 0.399)
Ba (0.000, 0.000, 0.000)
Cs (0.811, 0.000, 0.379)
Te (0.250, 0.500, 0.500)
Cs (0.561, 0.500, 0.879)
Se (0.548, 0.221, 0.101)
Se (0.230, 0.221, 0.899)
Cs (0.189, 0.000, 0.621)
Se (0.520, 0.279, 0.601)
Se (0.879, 0.721, 0.601)
Te (0.500, 0.000, 0.000)
Se (0.202, 0.279, 0.399)
Ba (0.750, 0.500, 0.500)

Calculated values
As for the space group: Fddd (70). For the theoretical density, the calculation gives 3.47 g/cm3. As for the electronic total energy: -3.4002 eV/atom. The value obtained for the uncorrected formation energy is -811 meV per atom.

- Which of these has the lowest theoretical density?
  CsBa2SrSe

- electronic total energy of number 4 (Cs2BaTeSe4)?
  -3.4002 eV/atom